Crystalline CsTmZn2F8 at its relaxed geometry. Source: Alexandria via LeMat-Bulk, functional PBE-GGA.

Cell and atoms, written as CIF:
```
data_CsTmZn2F8
_space_group_name_H-M_alt 'P 1'
_space_group_IT_number 1
_cell_length_a 5.437
_cell_length_b 5.437
_cell_length_c 9.495
_cell_angle_alpha 73.36
_cell_angle_beta 73.36
_cell_angle_gamma 60.00
loop_
_space_group_symop_operation_xyz
'x,y,z'
loop_
_atom_site_label
_atom_site_type_symbol
_atom_site_fract_x
_atom_site_fract_y
_atom_site_fract_z
F1 F 0.683 0.683 0.950
F2 F 0.128 0.741 0.652
F3 F 0.259 0.872 0.348
F4 F 0.479 0.128 0.652
F5 F 0.317 0.317 0.050
F6 F 0.521 0.259 0.348
F7 F 0.741 0.479 0.652
F8 F 0.872 0.521 0.348
Tm1 Tm 0.500 0.500 0.500
Cs1 Cs 0.000 0.000 0.000
Zn1 Zn 0.753 0.753 0.742
Zn2 Zn 0.247 0.247 0.258
```

Summary:
* space group: R32, No. 155
* ΔE_f (raw): -2.951 eV per atom